(1)
A relaxed Sr3In8Pb3 crystal. Source: Alexandria, functional PBE.

ΔE_f = -0.285 eV per atom
SG = Immm
Calculated density = 6.95 g/cm3

a b c (Å): 9.9548 9.9548 9.9548
angles (deg): 151.92 109.45 77.57
Fractional positions:
Sr  0.0000  0.0000  0.0000
Sr  0.3114  0.3114  0.0000
Sr  0.6886  0.6886  0.0000
In  0.0410  0.6662  0.3747
In  0.1253  0.8484  0.2769
In  0.2915  0.6662  0.6253
In  0.4285  0.1516  0.2769
In  0.5715  0.8484  0.7231
In  0.7085  0.3338  0.3747
In  0.8747  0.1516  0.7231
In  0.9590  0.3338  0.6253
Pb  0.2856  0.5000  0.7856
Pb  0.5000  0.0000  0.5000
Pb  0.7144  0.5000  0.2144


(2)
A relaxed Ba2Sn4Ir3Rh crystal. Source: Alexandria, functional PBE.

ΔE_f = -0.471 eV per atom
SG = P-4m2
Calculated density = 9.94 g/cm3

a b c (Å): 4.6873 4.6873 10.8666
angles (deg): 90.00 90.00 90.00
Fractional positions:
Ba  0.0000  0.5000  0.2446
Ba  0.5000  0.0000  0.7554
Sn  0.0000  0.0000  0.5000
Sn  0.0000  0.5000  0.8773
Sn  0.5000  0.0000  0.1227
Sn  0.5000  0.5000  0.5000
Ir  0.0000  0.0000  0.0000
Ir  0.0000  0.5000  0.6266
Ir  0.5000  0.0000  0.3734
Rh  0.5000  0.5000  0.0000


(3)
A relaxed LiPuAg2Br6 crystal. Source: Alexandria, functional PBE.

Formation energy from raw total energies = -996 meV/atom
SG = P2_1/c
Calculated density = 5.45 g/cm3

a b c (Å): 7.2567 7.2404 13.0840
angles (deg): 90.00 122.99 90.00
Fractional positions:
Li  0.0000  0.0000  0.0000
Li  0.0000  0.5000  0.5000
Pu  0.5000  0.0000  0.5000
Pu  0.5000  0.5000  0.0000
Ag  0.2623  0.0238  0.7450
Ag  0.2623  0.4762  0.2450
Ag  0.7377  0.5238  0.7550
Ag  0.7377  0.9762  0.2550
Br  0.0928  0.1788  0.4331
Br  0.0928  0.3212  0.9331
Br  0.2544  0.6638  0.4271
Br  0.2544  0.8362  0.9271
Br  0.3689  0.1048  0.2521
Br  0.3689  0.3952  0.7521
Br  0.6311  0.6048  0.2479
Br  0.6311  0.8952  0.7479
Br  0.7456  0.1638  0.0729
Br  0.7456  0.3362  0.5729
Br  0.9072  0.6788  0.0669
Br  0.9072  0.8212  0.5669


(4)
A relaxed PmThZr crystal. Source: Alexandria, functional PBE.

ΔE_f = 0.118 eV per atom
SG = I4mm
Calculated density = 8.80 g/cm3

a b c (Å): 7.8737 7.8737 7.8737
angles (deg): 154.81 154.81 35.93
Fractional positions:
Pm  0.0000  0.0000  0.0000
Th  0.6809  0.6809  0.0000
Zr  0.3361  0.3361  0.0000


(5)
A relaxed CsHO2F crystal. Source: Alexandria, functional PBE.

Total energy = -2.4044 eV/atom
SG = P4/mmm
Calculated density = 3.28 g/cm3

a b c (Å): 4.3471 4.3471 4.9550
angles (deg): 90.00 90.00 90.00
Fractional positions:
Cs  0.0000  0.0000  0.0000
H  0.5000  0.5000  0.5000
O  0.0000  0.5000  0.0000
O  0.5000  0.0000  0.0000
F  0.0000  0.0000  0.5000


(6)
A relaxed Rb2InGeAu6 crystal. Source: Alexandria, functional PBE.

ΔE_f = -0.169 eV per atom
SG = P-1
Calculated density = 9.00 g/cm3

a b c (Å): 7.1108 7.4078 7.4090
angles (deg): 61.27 61.34 61.33
Fractional positions:
Rb  0.2045  0.2949  0.2961
Rb  0.7955  0.7051  0.7039
In  0.5000  0.5000  0.5000
Ge  0.0000  0.0000  0.0000
Au  0.2410  0.7587  0.7599
Au  0.3035  0.1864  0.8137
Au  0.3028  0.8123  0.1874
Au  0.6972  0.1877  0.8126
Au  0.6965  0.8136  0.1863
Au  0.7590  0.2413  0.2401


(7)
A relaxed Pr2DyAg crystal. Source: Alexandria, functional PBE.

ΔE_f = -0.032 eV per atom
SG = C2/c
Calculated density = 7.60 g/cm3

a b c (Å): 6.8698 6.8698 6.5890
angles (deg): 105.73 105.73 54.57
Fractional positions:
Pr  0.2056  0.2247  0.1092
Pr  0.2247  0.2056  0.6092
Pr  0.7753  0.7944  0.3908
Pr  0.7944  0.7753  0.8908
Dy  0.3311  0.6689  0.7500
Dy  0.6689  0.3311  0.2500
Ag  0.1954  0.8046  0.2500
Ag  0.8046  0.1954  0.7500


(8)
A relaxed LiCe3Th3S8 crystal. Source: Alexandria, functional PBE.

Formation energy from raw total energies = -1891 meV/atom
SG = R-3m
Calculated density = 6.31 g/cm3

a b c (Å): 8.0117 8.0117 8.0117
angles (deg): 59.94 59.94 59.94
Fractional positions:
Li  0.0000  0.0000  0.0000
Ce  0.0000  0.0000  0.5000
Ce  0.0000  0.5000  0.0000
Ce  0.5000  0.0000  0.0000
Th  0.0000  0.5000  0.5000
Th  0.5000  0.0000  0.5000
Th  0.5000  0.5000  0.0000
S  0.2428  0.2428  0.7568
S  0.2428  0.7568  0.2428
S  0.2432  0.7572  0.7572
S  0.2488  0.2488  0.2488
S  0.7512  0.7512  0.7512
S  0.7568  0.2428  0.2428
S  0.7572  0.2432  0.7572
S  0.7572  0.7572  0.2432


(9)
A relaxed MgTiF3 crystal. Source: Alexandria, functional PBE.

Formation energy from raw total energies = -2245 meV/atom
SG = Pm-3m
Calculated density = 2.92 g/cm3

a b c (Å): 4.1896 4.1896 4.1896
angles (deg): 90.00 90.00 90.00
Fractional positions:
Mg  0.0000  0.0000  0.0000
Ti  0.5000  0.5000  0.5000
F  0.0000  0.5000  0.5000
F  0.5000  0.0000  0.5000
F  0.5000  0.5000  0.0000


(10)
A relaxed YErCS crystal. Source: Alexandria, functional PBE.

Formation energy from raw total energies = -1080 meV/atom
SG = P4/mmm
Calculated density = 6.68 g/cm3

a b c (Å): 3.7594 3.7594 5.2781
angles (deg): 90.00 90.00 90.00
Fractional positions:
Y  0.0000  0.0000  0.0000
Er  0.5000  0.5000  0.5000
C  0.0000  0.0000  0.5000
S  0.5000  0.5000  0.0000


(11)
A relaxed BaSbW2 crystal. Source: Alexandria, functional PBE.

Formation energy from raw total energies = 923 meV/atom
SG = Imm2
Calculated density = 10.10 g/cm3

a b c (Å): 6.3399 6.3399 6.3399
angles (deg): 149.91 125.47 63.55
Fractional positions:
Ba  0.0000  0.0000  0.0000
Sb  0.2906  0.7906  0.5000
W  0.5309  0.5309  0.0000
W  0.6983  0.1983  0.5000


(12)
A relaxed Tl3AuF crystal. Source: Alexandria, functional PBE.

Formation energy from raw total energies = -339 meV/atom
SG = Pm-3m
Calculated density = 7.90 g/cm3

a b c (Å): 5.5861 5.5861 5.5861
angles (deg): 90.00 90.00 90.00
Fractional positions:
Tl  0.0000  0.0000  0.5000
Tl  0.0000  0.5000  0.0000
Tl  0.5000  0.0000  0.0000
Au  0.0000  0.0000  0.0000
F  0.5000  0.5000  0.5000


(13)
A relaxed MgZr3Zn4 crystal. Source: Alexandria, functional PBE.

ΔE_f = -0.253 eV per atom
SG = Fmmm
Calculated density = 6.37 g/cm3

a b c (Å): 7.6251 7.6209 4.6009
angles (deg): 72.49 72.39 35.13
Fractional positions:
Mg  0.0000  0.0000  0.0000
Zr  0.2458  0.2458  0.7542
Zr  0.5000  0.5000  0.5000
Zr  0.7542  0.7542  0.2458
Zn  0.1207  0.1207  0.3793
Zn  0.3793  0.3793  0.1207
Zn  0.6207  0.6207  0.8793
Zn  0.8793  0.8793  0.6207


(14)
A relaxed Dy2ErF11 crystal. Source: Alexandria, functional PBE.

Formation energy from raw total energies = -3463 meV/atom
SG = Ibam
Calculated density = 4.96 g/cm3

a b c (Å): 8.5921 8.5921 8.5921
angles (deg): 121.85 107.28 100.09
Fractional positions:
Dy  0.1898  0.1602  0.3500
Dy  0.3102  0.6602  0.9704
Dy  0.6898  0.3398  0.0296
Dy  0.8102  0.8398  0.6500
Er  0.2500  0.7500  0.5000
Er  0.7500  0.2500  0.5000
F  0.0000  0.0000  0.0000
F  0.0254  0.4568  0.7707
F  0.0592  0.8386  0.6288
F  0.1861  0.9568  0.4314
F  0.1935  0.8911  0.0846
F  0.2098  0.4304  0.3712
F  0.2902  0.6614  0.2206
F  0.3065  0.3911  0.6976
F  0.3139  0.7452  0.7707
F  0.4408  0.0696  0.7794
F  0.4746  0.2452  0.4314
F  0.5000  0.5000  0.0000
F  0.5254  0.7548  0.5686
F  0.5592  0.9304  0.2206
F  0.6861  0.2548  0.2293
F  0.6935  0.6089  0.3024
F  0.7098  0.3386  0.7794
F  0.7902  0.5696  0.6288
F  0.8065  0.1089  0.9154
F  0.8139  0.0432  0.5686
F  0.9408  0.1614  0.3712
F  0.9746  0.5432  0.2293


(15)
A relaxed CoC3 crystal. Source: Alexandria, functional PBE.

ΔE_f = 1.420 eV per atom
SG = Imm2
Calculated density = 5.22 g/cm3

a b c (Å): 3.7673 3.7673 3.7673
angles (deg): 137.28 75.21 121.38
Fractional positions:
Co  0.0000  0.0000  0.0000
C  0.1529  0.8302  0.3227
C  0.5075  0.8302  0.6773
C  0.5835  0.0835  0.5000


(16)
A relaxed ZnGa2Co4 crystal. Source: Alexandria, functional PBE.

ΔE_f = 0.078 eV per atom
SG = R-3m
Calculated density = 8.17 g/cm3

a b c (Å): 6.8943 6.8943 6.8943
angles (deg): 33.64 33.64 33.64
Fractional positions:
Zn  0.0000  0.0000  0.0000
Ga  0.2508  0.2508  0.2508
Ga  0.7492  0.7492  0.7492
Co  0.1299  0.1299  0.1299
Co  0.3794  0.3794  0.3794
Co  0.6206  0.6206  0.6206
Co  0.8701  0.8701  0.8701


(17)
A relaxed TcPtW2 crystal. Source: Alexandria, functional PBE.

ΔE_f = -0.121 eV per atom
SG = I4/mmm
Calculated density = 17.73 g/cm3

a b c (Å): 4.8221 4.8221 4.8221
angles (deg): 131.34 131.34 71.27
Fractional positions:
Tc  0.0000  0.0000  0.0000
Pt  0.5000  0.5000  0.0000
W  0.2500  0.7500  0.5000
W  0.7500  0.2500  0.5000


(18)
A relaxed Ca6Mg2Rh crystal. Source: Alexandria, functional PBE.

ΔE_f = -0.122 eV per atom
SG = P2_1/c
Calculated density = 2.07 g/cm3

a b c (Å): 7.6159 7.6158 13.2341
angles (deg): 90.00 125.11 90.00
Fractional positions:
Ca  0.2457  0.2483  0.0008
Ca  0.2457  0.2517  0.5008
Ca  0.2471  0.0005  0.7492
Ca  0.2471  0.4995  0.2492
Ca  0.2525  0.7450  0.0008
Ca  0.2525  0.7550  0.5008
Ca  0.7475  0.2450  0.4992
Ca  0.7475  0.2550  0.9992
Ca  0.7529  0.9995  0.2508
Ca  0.7529  0.5005  0.7508
Ca  0.7543  0.7483  0.4992
Ca  0.7543  0.7517  0.9992
Mg  0.2512  0.5016  0.7500
Mg  0.2512  0.9984  0.2500
Mg  0.7488  0.0016  0.7500
Mg  0.7488  0.4984  0.2500
Rh  0.5000  0.0000  0.0000
Rh  0.5000  0.5000  0.5000


(19)
A relaxed Al2SbBr crystal. Source: Alexandria, functional PBE.

Formation energy from raw total energies = 217 meV/atom
SG = Pmmm
Calculated density = 4.60 g/cm3

a b c (Å): 3.2660 5.1861 5.4505
angles (deg): 90.00 90.00 90.00
Fractional positions:
Al  0.0000  0.0000  0.0000
Al  0.5000  0.0000  0.5000
Sb  0.0000  0.5000  0.5000
Br  0.5000  0.5000  0.0000


(20)
A relaxed V2NiRu2 crystal. Source: Alexandria, functional PBE.

ΔE_f = 0.023 eV per atom
SG = P4/mbm
Calculated density = 8.61 g/cm3

a b c (Å): 6.9759 6.9759 2.8766
angles (deg): 90.00 90.00 90.00
Fractional positions:
V  0.1598  0.3402  0.0000
V  0.3402  0.8402  0.0000
V  0.6598  0.1598  0.0000
V  0.8402  0.6598  0.0000
Ni  0.0000  0.0000  0.5000
Ni  0.5000  0.5000  0.5000
Ru  0.1411  0.6411  0.5000
Ru  0.3589  0.1411  0.5000
Ru  0.6411  0.8589  0.5000
Ru  0.8589  0.3589  0.5000


(21)
A relaxed YInB2C crystal. Source: Alexandria, functional PBE.

ΔE_f = 2.235 eV per atom
SG = P4/mmm
Calculated density = 3.80 g/cm3

a b c (Å): 4.1010 4.1010 6.1690
angles (deg): 90.00 90.00 90.00
Fractional positions:
Y  0.0000  0.0000  0.0000
In  0.0000  0.0000  0.5000
B  0.0000  0.5000  0.5000
B  0.5000  0.0000  0.5000
C  0.5000  0.5000  0.0000


(22)
A relaxed Eu2HoPb crystal. Source: Alexandria, functional PBE.

ΔE_f = -0.281 eV per atom
SG = P4/mmm
Calculated density = 8.89 g/cm3

a b c (Å): 4.9251 4.9251 5.2066
angles (deg): 90.00 90.00 90.00
Fractional positions:
Eu  0.0000  0.5000  0.0000
Eu  0.5000  0.0000  0.0000
Ho  0.0000  0.0000  0.5000
Pb  0.5000  0.5000  0.5000


(23)
A relaxed NaCa3Rh crystal. Source: Alexandria, functional PBE.

ΔE_f = 0.110 eV per atom
SG = P4mm
Calculated density = 2.04 g/cm3

a b c (Å): 4.5692 4.5692 9.5893
angles (deg): 90.00 90.00 90.00
Fractional positions:
Na  0.0000  0.0000  0.0000
Ca  0.0000  0.0000  0.6156
Ca  0.0000  0.5000  0.3272
Ca  0.5000  0.0000  0.3272
Rh  0.5000  0.5000  0.5062


(24)
A relaxed Na4Ga2Ge crystal. Source: Alexandria, functional PBE.

ΔE_f = 0.194 eV per atom
SG = I4/mmm
Calculated density = 2.20 g/cm3

a b c (Å): 8.3058 8.3058 8.3058
angles (deg): 140.59 140.59 56.96
Fractional positions:
Na  0.0000  0.5000  0.5000
Na  0.2000  0.2000  0.0000
Na  0.5000  0.0000  0.5000
Na  0.8000  0.8000  0.0000
Ga  0.4093  0.4093  0.0000
Ga  0.5907  0.5907  0.0000
Ge  0.0000  0.0000  0.0000


Computed size of the total moment (μB per cell) in order:
0.00; 0.00; 10.00; 0.00; 0.54; 0.00; 0.00; 2.03; 2.10; 0.00; 0.00; 0.00; 0.00; 4.21; 0.00; 2.52; 0.00; 0.00; 0.00; 0.00; 0.00; 14.73; 0.00; 0.00